This record from the Open Quantum Materials Database describes a relaxed Cs4Ag2BiP crystal. The functional is PBE-GGA.

a b c (Å): 6.9636 7.0820 7.0820
angles (deg): 109.11 90.00 90.00
Positions (direct):
Bi: 0.0000 0.7708 0.7708
Ag: 0.7174 0.0169 0.0169
Ag: 0.2826 0.0169 0.0169
Cs: 0.5000 0.8137 0.4628
Cs: 0.5000 0.4628 0.8137
Cs: 0.0000 0.1704 0.4962
Cs: 0.0000 0.4962 0.1704
P: 0.5000 0.2523 0.2523

Properties
The value obtained for the total energy is -2.632 eV per atom.



This record from the Open Quantum Materials Database describes a relaxed CsLuFe crystal. The functional is PBE-GGA.

a b c (Å): 5.4062 5.4062 5.4062
angles (deg): 60.00 60.00 60.00
Positions (direct):
Fe: 0.2500 0.2500 0.2500
Lu: 0.7500 0.7500 0.7500
Cs: 0.0000 0.0000 0.0000

Properties
The spin magnetization comes out at 1.100 μB per atom. For the energy relative to the lowest polymorph listed for this composition, the calculation gives 1.654 eV per formula unit.



This record from the Open Quantum Materials Database describes a relaxed CdCoB4 crystal. The functional is PBE-GGA.

a b c (Å): 4.7353 4.7353 4.7353
angles (deg): 142.97 112.35 79.72
Last column: magnetic moment on the atom in μB.
Positions (direct):
Cd: 0.0000 0.0000 0.0000  -0.01
Co: 0.5000 0.5000 0.0000  1.49
B: 0.9038 0.2417 0.6621  0.04
B: 0.5795 0.2417 0.3379  0.04
B: 0.0962 0.7583 0.3379  0.04
B: 0.4205 0.7583 0.6621  0.04

Properties
The spin magnetization comes out at 0.274 μB per atom. For the energy relative to the lowest polymorph listed for this composition, the calculation gives 0.922 eV per formula unit.



This record from the Open Quantum Materials Database describes a relaxed HfBeAg crystal. The functional is PBE-GGA.

a b c (Å): 4.3757 4.3757 4.3757
angles (deg): 60.00 60.00 60.00
Positions (direct):
Be: 0.7500 0.7500 0.7500
Ag: 0.2500 0.2500 0.2500
Hf: 0.0000 0.0000 0.0000

Properties
The spin magnetization comes out at 0.000 μB per atom. For the energy relative to the lowest polymorph listed for this composition, the calculation gives 1.610 eV per formula unit.



This record from the Open Quantum Materials Database describes a relaxed ScCoHgGe crystal. The functional is PBE-GGA.

a b c (Å): 4.6149 4.6149 4.6149
angles (deg): 60.00 60.00 60.00
Last column: magnetic moment on the atom in μB.
Positions (direct):
Ge: 0.0000 0.0000 0.0000  0.00
Hg: 0.2500 0.2500 0.2500  0.00
Sc: 0.5000 0.5000 0.5000  0.10
Co: 0.7500 0.7500 0.7500  -0.75

Properties
The spin magnetization comes out at 0.153 μB per atom. For the energy relative to the lowest polymorph listed for this composition, the calculation gives 0.611 eV per formula unit.



This record from the Open Quantum Materials Database describes a relaxed TmAgPbS3 crystal. The functional is PBE-GGA.

a b c (Å): 6.8827 6.8827 10.3112
angles (deg): 90.00 90.00 33.78
Positions (direct):
S: 0.9149 0.9149 0.7500
S: 0.0851 0.0851 0.2500
S: 0.6384 0.6384 0.5465
S: 0.6384 0.6384 0.9535
S: 0.3616 0.3616 0.0465
S: 0.3616 0.3616 0.4535
Ag: 0.5389 0.5389 0.7500
Ag: 0.4611 0.4611 0.2500
Tm: 0.0000 0.0000 0.0000
Tm: 0.0000 0.0000 0.5000
Pb: 0.2521 0.2521 0.7500
Pb: 0.7479 0.7479 0.2500

Properties
The spin magnetization comes out at 0.001 μB per atom. For the energy relative to the lowest polymorph listed for this composition, the calculation gives 0.210 eV per formula unit.



This record from the Open Quantum Materials Database describes a relaxed Na2CdSi2O6 crystal. The functional is PBE-GGA.

a b c (Å): 10.3978 7.4376 10.4794
angles (deg): 90.00 90.00 90.00
Positions (direct):
O: 0.5000 0.3229 0.4455
O: 0.8656 0.0200 0.8113
O: 0.3220 0.0571 0.6238
O: 0.7153 0.7520 0.7423
O: 0.6344 0.9800 0.3113
O: 0.1344 0.0200 0.8113
O: 0.0000 0.6771 0.9455
O: 0.5000 0.1808 0.0533
O: 0.3750 0.0270 0.8739
O: 0.0000 0.1958 0.5341
O: 0.6733 0.4559 0.8803
O: 0.8267 0.5441 0.3803
O: 0.7847 0.2480 0.2423
O: 0.6255 0.4673 0.6298
O: 0.1250 0.9730 0.3739
O: 0.3745 0.4673 0.6298
O: 0.8745 0.5327 0.1298
O: 0.3656 0.9800 0.3113
O: 0.6349 0.5218 0.1968
O: 0.3651 0.5218 0.1968
O: 0.8651 0.4782 0.6968
O: 0.5000 0.6989 0.4751
O: 0.1349 0.4782 0.6968
O: 0.1733 0.5441 0.3803
O: 0.2847 0.7520 0.7423
O: 0.1780 0.9429 0.1238
O: 0.3267 0.4559 0.8803
O: 0.0000 0.3011 0.9751
O: 0.8750 0.9730 0.3739
O: 0.6780 0.0571 0.6238
O: 0.6250 0.0270 0.8739
O: 0.5000 0.8042 0.0341
O: 0.1255 0.5327 0.1298
O: 0.2153 0.2480 0.2423
O: 0.0000 0.8192 0.5533
O: 0.8220 0.9429 0.1238
Na: 0.7762 0.2863 0.5148
Na: 0.0000 0.5087 0.5109
Na: 0.2595 0.7713 0.4946
Na: 0.5000 0.2753 0.7767
Na: 0.5000 0.4913 0.0109
Na: 0.7238 0.7137 0.0148
Na: 0.2762 0.7137 0.0148
Na: 0.7405 0.7713 0.4946
Na: 0.2238 0.2863 0.5148
Na: 0.7595 0.2287 0.9946
Na: 0.2405 0.2287 0.9946
Na: 0.0000 0.7247 0.2767
Si: 0.7766 0.0297 0.2575
Si: 0.2766 0.9703 0.7575
Si: 0.2229 0.4688 0.2468
Si: 0.0000 0.5004 0.0367
Si: 0.0000 0.0011 0.4700
Si: 0.7771 0.4688 0.2468
Si: 0.5000 0.4996 0.5367
Si: 0.2234 0.0297 0.2575
Si: 0.7234 0.9703 0.7575
Si: 0.5000 0.9989 0.9700
Si: 0.2771 0.5312 0.7468
Si: 0.7229 0.5312 0.7468
Cd: 0.0000 0.7383 0.7465
Cd: 0.5000 0.0193 0.5036
Cd: 0.0000 0.2503 0.7518
Cd: 0.5000 0.2617 0.2465
Cd: 0.5000 0.7497 0.2518
Cd: 0.0000 0.9807 0.0036

Properties
The value obtained for the total energy is -6.248 eV per atom.



This record from the Open Quantum Materials Database describes a relaxed CoPW crystal. The functional is PBE-GGA.

a b c (Å): 3.8523 3.8523 5.9323
angles (deg): 90.00 90.00 120.00
Positions (direct):
W: 0.0000 0.0000 0.7646
W: 0.0000 0.0000 0.2646
Co: 0.3333 0.6667 0.0427
Co: 0.6667 0.3333 0.5427
P: 0.3333 0.6667 0.4427
P: 0.6667 0.3333 0.9427

Properties
The value obtained for the total energy is -8.594 eV per atom. The spin magnetization comes out at 0.001 μB per atom.



This record from the Open Quantum Materials Database describes a relaxed Ga2W crystal. The functional is PBE-GGA.

a b c (Å): 5.0385 5.0385 5.0385
angles (deg): 60.00 60.00 60.00
Positions (direct):
Ga: 0.6250 0.6250 0.1250
Ga: 0.6250 0.6250 0.6250
Ga: 0.1250 0.6250 0.6250
Ga: 0.6250 0.1250 0.6250
W: 0.0000 0.0000 0.0000
W: 0.2500 0.2500 0.2500

Properties
The value obtained for the total energy is -5.799 eV per atom. The spin magnetization comes out at 0.002 μB per atom.



This record from the Open Quantum Materials Database describes a relaxed Sm2Sc2CI2Cl3 crystal. The functional is PBE-GGA.

a b c (Å): 9.2355 9.2355 7.7777
angles (deg): 100.56 100.56 23.44
Positions (direct):
Sc: 0.0017 0.0017 0.8052
Sc: 0.9983 0.9983 0.1948
Cl: 0.8593 0.8593 0.6656
Cl: 0.1407 0.1407 0.3344
Cl: 0.5000 0.5000 0.5000
Sm: 0.3630 0.3630 0.9248
Sm: 0.6370 0.6370 0.0752
I: 0.8310 0.8310 0.2163
I: 0.1690 0.1690 0.7837
C: 0.5000 0.5000 0.0000

Properties
The spin magnetization comes out at 0.001 μB per atom. For the energy relative to the lowest polymorph listed for this composition, the calculation gives 0.569 eV per formula unit.



This record from the Open Quantum Materials Database describes a relaxed LiSnAu2 crystal. The functional is PBE-GGA.

a b c (Å): 3.4970 3.4970 6.1756
angles (deg): 90.00 90.00 90.00
Positions (direct):
Sn: 0.0000 0.0000 0.0000
Au: 0.5000 0.5000 0.2744
Au: 0.5000 0.5000 0.7256
Li: 0.0000 0.0000 0.5000

Properties
The value obtained for the total energy is -3.457 eV per atom.



This record from the Open Quantum Materials Database describes a relaxed NaGd crystal. The functional is PBE-GGA.

a b c (Å): 4.9883 4.9883 4.9883
angles (deg): 60.00 60.00 60.00
Last column: magnetic moment on the atom in μB.
Positions (direct):
Gd: 0.0000 0.0000 0.0000  0.27
Na: 0.2500 0.2500 0.2500  0.01

Properties
The spin magnetization comes out at 0.289 μB per atom. For the energy relative to the lowest polymorph listed for this composition, the calculation gives 2.504 eV per formula unit.